# Zn2FeTc

A relaxed structure of Zn2FeTc (GGA-PBE, Alexandria via LeMat-Bulk).

Summary:
- Space-group type: Pmmm
- VASP energy: -5.267 eV per atom
- Energy above the most stable polymorph in this dataset: 70.1 meV per atom

Lattice parameters (Å, degrees): 3.652 3.766 3.966 90.00 90.00 90.00
Element x y z (fractional)
Zn1 0.000 0.000 0.000
Zn2 0.500 0.500 0.000
Fe1 0.000 0.500 0.500
Tc1 0.500 0.000 0.500